No. 1
VASP calculation (PBE-GGA) on LaTb7In2 after structural relaxation.

abc: 5.636 8.876 8.876
angles: 117.95 90.00 90.00
Site moments in Bohr magnetons follow the coordinates.
Atoms (fractional coordinates):
La: 0.000 0.000 0.000  0.12
Tb: 0.000 0.761 0.239  0.10
Tb: 0.000 0.239 0.761  0.10
Tb: 0.500 0.057 0.304  0.14
Tb: 0.500 0.943 0.696  0.14
Tb: 0.500 0.304 0.057  0.14
Tb: 0.500 0.696 0.943  0.14
Tb: 0.500 0.500 0.500  0.11
In: 0.500 0.698 0.302  0.01
In: 0.500 0.302 0.698  0.01

## Properties
- space group = Cmmm (65)
- crystal system = orthorhombic
- total energy (eV per formula unit) = -39.47
- DOS(E_F) (states/eV per cell) = 19.94
- energy of formation (eV per atom) = 0.33

***

No. 2
VASP calculation (PBE-GGA) on KGeCl2 after structural relaxation.

abc: 9.343 9.343 9.343
angles: 24.74 24.74 24.74
Atoms (fractional coordinates):
Ge: 0.000 0.000 0.000
K: 0.500 0.500 0.500
Cl: 0.907 0.907 0.907
Cl: 0.093 0.093 0.093

## Properties
- space group = R-3m (166)
- crystal system = trigonal
- total energy (eV per formula unit) = -12.97
- DOS(E_F) (states/eV per cell) = 1.05
- raw formation energy (eV/atom) = -0.89

***

No. 3
VASP calculation (PBE-GGA) on Ho2Al4HgPt3 after structural relaxation.

abc: 4.242 4.242 10.669
angles: 90.00 90.00 90.00
Atoms (fractional coordinates):
Ho: 0.500 0.000 0.237
Ho: 0.000 0.500 0.763
Al: 0.500 0.500 0.000
Al: 0.000 0.000 0.000
Al: 0.500 0.000 0.642
Al: 0.000 0.500 0.358
Hg: 0.500 0.500 0.500
Pt: 0.000 0.000 0.500
Pt: 0.500 0.000 0.869
Pt: 0.000 0.500 0.131

## Properties
- space group = P-4m2 (115)
- crystal system = tetragonal
- total energy (eV per formula unit) = -51.57
- DOS(E_F) (states/eV per cell) = 5.35
- energy of formation (eV per atom) = -0.90

***

No. 4
VASP calculation (PBE-GGA) on Ca3ScPa2As6 after structural relaxation.

abc: 7.144 7.144 7.217
angles: 99.50 99.50 120.00
Atoms (fractional coordinates):
Ca: 0.167 0.833 0.500
Ca: 0.833 0.167 0.500
Ca: 0.500 0.500 0.500
Sc: 0.000 0.000 0.000
Pa: 0.333 0.667 0.000
Pa: 0.667 0.333 0.000
As: 0.924 0.593 0.771
As: 0.746 0.746 0.230
As: 0.076 0.407 0.229
As: 0.593 0.924 0.771
As: 0.254 0.254 0.770
As: 0.407 0.076 0.229

## Properties
- space group = C2/m (12)
- crystal system = monoclinic
- total energy (eV per formula unit) = -73.76
- DOS(E_F) (states/eV per cell) = 6.72
- energy of formation (eV per atom) = -1.21